[1]
Crystalline ScZn2Cl at its relaxed geometry. Source: Alexandria, functional PBE.

Cell lengths 9.0562, 9.0562, 9.0562 Å; angles 21.46, 21.46, 21.46 degrees
Fractional positions:
Cl1 0.4783 0.4783 0.4783
Sc1 0.7482 0.7482 0.7482
Zn1 0.0026 0.0026 0.0026
Zn2 0.2710 0.2710 0.2710

Summary:
As for the space group: R3m (160). The formation energy without anion corrections is -0.550 eV per atom. The calculated volume comes out at 87 Å³ per cell. As for the excess energy over the best structure of this formula in the dataset: 9.4 meV per atom. As for the total moment: 0.3 Bohr magnetons per cell.

***

[2]
Crystalline ScZnCl2 at its relaxed geometry. Source: Alexandria, functional PBE.

Cell lengths 4.9955, 4.9955, 6.7790 Å; angles 76.71, 76.71, 39.10 degrees
Fractional positions:
Sc1 0.4766 0.4766 0.3446
Zn1 0.8724 0.8724 0.7009
Cl1 0.9727 0.9727 0.0607
Cl2 0.1783 0.1783 0.3938

Summary:
As for the space group: Cm (8). The formation energy without anion corrections is -1.111 eV per atom. The calculated volume comes out at 103 Å³ per cell. As for the excess energy over the best structure of this formula in the dataset: 70.8 meV per atom. As for the total moment: 0.9 Bohr magnetons per cell.

***

[3]
Crystalline ScZnCl2 at its relaxed geometry. Source: Alexandria, functional PBE.

Cell lengths 3.2988, 3.2988, 8.1123 Å; angles 90.00, 90.00, 90.00 degrees
Fractional positions:
Sc1 0.0000 0.0000 0.5121
Zn1 0.5000 0.5000 0.7472
Cl1 0.0000 0.0000 0.9099
Cl2 0.5000 0.5000 0.3309

Summary:
As for the space group: P4mm (99). The formation energy without anion corrections is -0.974 eV per atom. The calculated volume comes out at 88 Å³ per cell. As for the excess energy over the best structure of this formula in the dataset: 208.4 meV per atom. As for the total moment: 0.9 Bohr magnetons per cell.

***

[4]
Crystalline Sc2ZnCl at its relaxed geometry. Source: Alexandria, functional PBE.

Cell lengths 7.4468, 7.4468, 3.4472 Å; angles 76.62, 76.62, 25.62 degrees
Fractional positions:
Cl1 0.2956 0.2956 0.2045
Sc1 0.9490 0.9490 0.0510
Sc2 0.7043 0.7043 0.7957
Zn1 0.5511 0.5511 0.4487

Summary:
As for the space group: Imm2 (44). The formation energy without anion corrections is -0.561 eV per atom. The calculated volume comes out at 80 Å³ per cell. As for the excess energy over the best structure of this formula in the dataset: 164.4 meV per atom. As for the total moment: 0.0 Bohr magnetons per cell.

***

[5]
Crystalline ScZn3Cl at its relaxed geometry. Source: Alexandria, functional PBE.

Cell lengths 5.5037, 5.5037, 5.5037 Å; angles 90.00, 90.00, 90.00 degrees
Fractional positions:
Sc1 0.0000 0.0000 0.0000
Zn1 0.0000 0.5000 0.0000
Zn2 0.0000 0.0000 0.5000
Zn3 0.5000 0.0000 0.0000
Cl1 0.5000 0.5000 0.5000

Summary:
As for the space group: Pm-3m (221). The formation energy without anion corrections is 0.495 eV per atom. The calculated volume comes out at 167 Å³ per cell. As for the excess energy over the best structure of this formula in the dataset: 0.0 meV per atom. As for the total moment: 0.0 Bohr magnetons per cell.

***

[6]
Crystalline Sc2ZnCl at its relaxed geometry. Source: Alexandria, functional PBE.

Cell lengths 3.2074, 3.2074, 7.6513 Å; angles 90.00, 90.00, 90.00 degrees
Fractional positions:
Cl1 0.5000 0.5000 0.7500
Sc1 0.0000 0.0000 0.0228
Sc2 0.0000 0.0000 0.4772
Zn1 0.5000 0.5000 0.2500

Summary:
As for the space group: P4/mmm (123). The formation energy without anion corrections is -0.580 eV per atom. The calculated volume comes out at 79 Å³ per cell. As for the excess energy over the best structure of this formula in the dataset: 145.0 meV per atom. As for the total moment: 0.6 Bohr magnetons per cell.

***

[7]
Crystalline Sc2ZnCl at its relaxed geometry. Source: Alexandria, functional PBE.

Cell lengths 3.2363, 3.2363, 9.2101 Å; angles 90.00, 90.00, 90.00 degrees
Fractional positions:
Cl1 0.5000 0.5000 0.8291
Sc1 0.0000 0.0000 0.9896
Sc2 0.5000 0.5000 0.2458
Zn1 0.0000 0.0000 0.4355

Summary:
As for the space group: P4mm (99). The formation energy without anion corrections is -0.560 eV per atom. The calculated volume comes out at 96 Å³ per cell. As for the excess energy over the best structure of this formula in the dataset: 165.0 meV per atom. As for the total moment: 0.7 Bohr magnetons per cell.

***

[8]
Crystalline ScZnCl2 at its relaxed geometry. Source: Alexandria, functional PBE.

Cell lengths 4.9964, 4.9964, 4.9964 Å; angles 125.45, 125.45, 80.79 degrees
Fractional positions:
Sc1 0.2500 0.7500 0.5000
Zn1 0.7500 0.2500 0.5000
Cl1 0.0000 0.0000 0.0000
Cl2 0.5000 0.5000 0.0000

Summary:
As for the space group: I4/mmm (139). The formation energy without anion corrections is -0.716 eV per atom. The calculated volume comes out at 80 Å³ per cell. As for the excess energy over the best structure of this formula in the dataset: 466.2 meV per atom. As for the total moment: 0.9 Bohr magnetons per cell.

***

[9]
Crystalline Sc3ZnCl at its relaxed geometry. Source: Alexandria, functional PBE.

Cell lengths 4.7440, 4.7440, 4.7440 Å; angles 90.00, 90.00, 90.00 degrees
Fractional positions:
Sc1 0.0000 0.5000 0.0000
Sc2 0.0000 0.0000 0.5000
Sc3 0.5000 0.0000 0.0000
Zn1 0.5000 0.5000 0.5000
Cl1 0.0000 0.0000 0.0000

Summary:
As for the space group: Pm-3m (221). The formation energy without anion corrections is -0.360 eV per atom. The calculated volume comes out at 107 Å³ per cell. As for the excess energy over the best structure of this formula in the dataset: 0.0 meV per atom. As for the total moment: 0.0 Bohr magnetons per cell.

***

[10]
Crystalline ScZn2Cl at its relaxed geometry. Source: Alexandria, functional PBE.

Cell lengths 5.3403, 5.3403, 3.2669 Å; angles 89.96, 89.96, 122.57 degrees
Fractional positions:
Cl1 0.5000 0.0000 0.5000
Sc1 0.0000 0.5000 0.5000
Zn1 0.0000 0.0000 0.0000
Zn2 0.5000 0.5000 0.0000

Summary:
As for the space group: C2/m (12). The formation energy without anion corrections is -0.378 eV per atom. The calculated volume comes out at 79 Å³ per cell. As for the excess energy over the best structure of this formula in the dataset: 180.9 meV per atom. As for the total moment: 0.0 Bohr magnetons per cell.

***

[11]
Crystalline Sc2ZnCl at its relaxed geometry. Source: Alexandria, functional PBE.

Cell lengths 5.0286, 5.0286, 5.0286 Å; angles 60.00, 60.00, 60.00 degrees
Fractional positions:
Cl1 0.5000 0.5000 0.5000
Sc1 0.0000 0.0000 0.0000
Sc2 0.2500 0.2500 0.2500
Zn1 0.7500 0.7500 0.7500

Summary:
As for the space group: F-43m (216). The formation energy without anion corrections is 0.205 eV per atom. The calculated volume comes out at 90 Å³ per cell. As for the excess energy over the best structure of this formula in the dataset: 929.7 meV per atom. As for the total moment: 3.0 Bohr magnetons per cell.

***

[12]
Crystalline ScZn2Cl at its relaxed geometry. Source: Alexandria, functional PBE.

Cell lengths 4.7017, 4.7017, 4.7017 Å; angles 60.00, 60.00, 60.00 degrees
Fractional positions:
Cl1 0.5000 0.5000 0.5000
Sc1 0.7500 0.7500 0.7500
Zn1 0.0000 0.0000 0.0000
Zn2 0.2500 0.2500 0.2500

Summary:
As for the space group: F-43m (216). The formation energy without anion corrections is -0.199 eV per atom. The calculated volume comes out at 73 Å³ per cell. As for the excess energy over the best structure of this formula in the dataset: 360.6 meV per atom. As for the total moment: 0.0 Bohr magnetons per cell.